# 1
Compound: Pm3Zn3Ni2
Source: Alexandria
Functional: GGA-PBE
Structure: optimized geometry

Cell: 7.655 15.647 5.515 Å, 90.00 90.00 90.00°
Space group Pnma (No. 62)
Unique sites:
1 Pm 0.036 0.106 0.115
2 Pm 0.163 0.250 0.629
3 Zn 0.172 0.035 0.601
4 Zn 0.179 0.750 0.621
5 Ni 0.119 0.611 0.379

Relative energy among the computed polymorphs = 4.1 meV/atom
Energy = -4.06 eV/atom
Energy of formation from the pure elements = -0.353 eV/atom

---

# 2
Compound: Pm3Zn2Ni3
Source: Alexandria
Functional: GGA-PBE
Structure: optimized geometry

Cell: 7.600 14.741 5.747 Å, 90.00 90.00 90.00°
Space group Pnma (No. 62)
Unique sites:
1 Pm 0.047 0.104 0.153
2 Pm 0.187 0.250 0.617
3 Zn 0.107 0.600 0.358
4 Ni 0.168 0.750 0.589
5 Ni 0.190 0.038 0.580

Relative energy among the computed polymorphs = 41.1 meV/atom
Energy = -4.60 eV/atom
Energy of formation from the pure elements = -0.331 eV/atom

---

# 3
Compound: PmZn12Ni4
Source: Alexandria
Functional: GGA-PBE
Structure: optimized geometry

Cell: 8.443 8.443 8.443 Å, 90.00 90.00 90.00°
Space group Im-3 (No. 204)
Unique sites:
1 Pm 0.000 0.000 0.000
2 Zn 0.000 0.166 0.347
3 Ni 0.250 0.250 0.250

Energy = -2.43 eV/atom
Energy of formation from the pure elements = 0.112 eV/atom

---

# 4
Compound: Pm12ZnNi6
Source: Alexandria
Functional: GGA-PBE
Structure: optimized geometry

Cell: 14.0180 14.0180 8.9186 Å, 90.00 90.00 120.00°
Space group R-3 (No. 148, hexagonal axes)
Unique sites:
1 Pm 0.0380 0.2535 0.4305
2 Pm 0.0608 0.1806 0.8319
3 Zn 0.0000 0.0000 0.5000
4 Ni 0.0710 0.5006 0.7859

Relative energy among the computed polymorphs = 118.9 meV/atom
Energy = -5.02 eV/atom
Energy of formation from the pure elements = -0.127 eV/atom

---

# 5
Compound: Pm2ZnNi
Source: Alexandria
Functional: GGA-PBE
Structure: optimized geometry

Cell: 3.3680 3.3680 30.0513 Å, 90.00 90.00 120.00°
Space group R-3m (No. 166, hexagonal axes)
Unique sites:
1 Pm 0.0000 0.0000 0.0856
2 Zn 0.0000 0.0000 0.5000
3 Ni 0.0000 0.0000 0.0000

Relative energy among the computed polymorphs = 682.7 meV/atom
Energy = -3.76 eV/atom
Energy of formation from the pure elements = 0.374 eV/atom

---

# 6
Compound: PmZn10Ni2
Source: Alexandria
Functional: GGA-PBE
Structure: optimized geometry

Cell: 5.011 6.774 6.792 Å, 82.30 68.46 68.63°
Space group P-1 (No. 2)
Unique sites:
1 Pm 0.000 0.000 0.000
2 Zn 0.000 0.000 0.500
3 Zn 0.016 0.636 0.333
4 Zn 0.279 0.229 0.212
5 Zn 0.348 0.636 0.667
6 Zn 0.491 0.229 0.788
7 Zn 0.500 0.000 0.500
8 Ni 0.000 0.500 0.000
9 Ni 0.500 0.500 0.000

Energy = -2.47 eV/atom
Energy of formation from the pure elements = -0.233 eV/atom

---

# 7
Compound: Pm3Zn4Ni4
Source: Alexandria
Functional: GGA-PBE
Structure: optimized geometry

Cell: 4.045 7.146 13.699 Å, 90.00 90.00 90.00°
Space group Immm (No. 71)
Unique sites:
1 Pm 0.000 0.000 0.000
2 Pm 0.000 0.500 0.128
3 Zn 0.000 0.311 0.330
4 Ni 0.000 0.000 0.218
5 Ni 0.000 0.176 0.500

Relative energy among the computed polymorphs = 0.0 meV/atom
Energy = -4.22 eV/atom
Energy of formation from the pure elements = -0.359 eV/atom

---

# 8
Compound: Pm2Zn12Ni5
Source: Alexandria
Functional: GGA-PBE
Structure: optimized geometry

Cell: 8.8885 8.8885 12.6801 Å, 90.00 90.00 120.00°
Space group R-3m (No. 166, hexagonal axes)
Unique sites:
1 Pm 0.0000 0.0000 0.1646
2 Zn 0.0000 0.2842 0.5000
3 Zn 0.0129 0.5065 0.3492
4 Ni 0.0000 0.0000 0.3975
5 Ni 0.0000 0.5000 0.0000

Energy = -3.12 eV/atom
Energy of formation from the pure elements = -0.290 eV/atom

---

> Look up the energy of formation from the pure elements of the seventh one.

-0.359 eV/atom